## CrSnHg2Rh (PBE)

Data for CrSnHg2Rh after structural relaxation.

Structure (POSCAR):
```
CrSnHg2Rh
1.0
-1.355 4.962 -0.722
-2.713 -1.230 -3.362
-3.912 -0.578 3.368
Cr Hg Rh Sn
1 2 1 1
direct
0.000 0.000 0.000
0.000 0.000 0.500
0.500 0.000 0.000
0.000 0.500 0.000
0.500 0.500 0.500
```

Results
* V: 121 Å³/cell
* DOS at the Fermi energy: 3.94 states/eV/cell
* total DFT energy (no corrections): -3.619 eV per atom



## NaNp2Te4 (PBE)

Data for NaNp2Te4 after structural relaxation.

Structure (POSCAR):
```
NaNp2Te4
1.0
-3.134 -2.938 -0.980
2.803 -4.744 5.257
-4.496 7.060 3.111
Te Na Np
4 1 2
direct
0.135 0.804 0.269
0.639 0.297 0.278
0.361 0.703 0.722
0.865 0.196 0.731
0.000 0.000 0.000
0.745 0.750 0.491
0.255 0.250 0.509
```

Results
* formation energy from raw total energies: -5.0 eV per formula unit
* V: 259 Å³/cell
* energy relative to the lowest polymorph listed for this composition: 0 meV per atom
* DOS at the Fermi energy: 16.89 states/eV/cell
* total DFT energy (no corrections): -6.391 eV per atom



## SmDy2TmSe4 (PBE)

Data for SmDy2TmSe4 after structural relaxation.

Structure (POSCAR):
```
SmDy2TmSe4
1.0
4.028 0.000 0.000
0.000 7.044 -0.160
0.000 2.463 6.743
Se Dy Sm Tm
4 2 1 1
direct
0.000 0.246 0.258
0.000 0.754 0.742
0.500 0.251 0.743
0.500 0.749 0.257
0.000 0.000 0.000
0.500 0.000 0.500
0.500 0.500 0.000
0.000 0.500 0.500
```

Results
* formation energy from raw total energies: -13.9 eV per formula unit
* V: 193 Å³/cell
* DOS at the Fermi energy: 4.37 states/eV/cell
* total DFT energy (no corrections): -5.780 eV per atom